## Nd2CdCu2 (meta-GGA SCAN)

Data for Nd2CdCu2 at its PBEsol-relaxed geometry.

Values from the calculation:
Total magnetization in μB per atom: 0.0000
Final energy in eV/atom: -29.90
Formation enthalpy at 0 K in eV/atom: -0.30

Lattice parameters (Å, degrees): 7.5815 7.5815 3.7965 90.00 90.00 90.00
Space group P4/mbm (No. 127)
Unique sites:
Nd 0.1754 0.3246 0.0000 [4 per cell]
Cd 0.0000 0.0000 0.5000 [2 per cell]
Cu 0.1183 0.6183 0.5000 [4 per cell]